Entry 1:
# PBE-GGA Pr8GeTe3Se3, optimized geometry
# * formation energy from raw total energies: -33.36 kcal/mol of atoms
data_Pr8GeTe3Se3
_chemical_formula_sum 'Pr8 Ge1 Te3 Se3'
_cell_length_a 8.683
_cell_length_b 8.683
_cell_length_c 8.852
_cell_angle_alpha 119.37
_cell_angle_beta 90.00
_cell_angle_gamma 120.00
_symmetry_space_group_name_H-M 'P 1'
_symmetry_Int_Tables_number 1
loop_
_symmetry_equiv_pos_as_xyz
'x,y,z'
loop_
_atom_site_label
_atom_site_fract_x
_atom_site_fract_y
_atom_site_fract_z
Pr1 0.260 0.520 0.280
Pr2 0.740 0.480 0.720
Pr3 0.760 0.519 0.275
Pr4 0.240 0.481 0.725
Pr5 0.760 0.015 0.275
Pr6 0.240 0.985 0.725
Pr7 0.255 0.015 0.275
Pr8 0.745 0.985 0.725
Ge1 0.000 0.000 0.500
Te1 0.000 0.000 0.000
Te2 0.000 0.500 0.000
Te3 0.500 0.500 0.000
Se1 0.500 0.000 0.500
Se2 0.500 0.500 0.500
Se3 0.000 0.500 0.500



Entry 2:
# PBE-GGA PmBi4, optimized geometry
# * E_form: 50 kJ per mole of atoms
data_PmBi4
_chemical_formula_sum 'Pm1 Bi4'
_cell_length_a 5.989
_cell_length_b 5.989
_cell_length_c 5.989
_cell_angle_alpha 90.00
_cell_angle_beta 90.00
_cell_angle_gamma 90.00
_symmetry_space_group_name_H-M 'P 1'
_symmetry_Int_Tables_number 1
loop_
_symmetry_equiv_pos_as_xyz
'x,y,z'
loop_
_atom_site_label
_atom_site_fract_x
_atom_site_fract_y
_atom_site_fract_z
Bi1 0.000 0.000 0.000
Bi2 0.500 0.000 0.500
Bi3 0.000 0.500 0.500
Bi4 0.500 0.500 0.000
Pm1 0.500 0.500 0.500



Entry 3:
# PBE-GGA Ta2SbRuSe, optimized geometry
# * formation energy from raw total energies: 52.64 kcal/mol of atoms
data_Ta2SbRuSe
_chemical_formula_sum 'Ta2 Sb1 Ru1 Se1'
_cell_length_a 5.055
_cell_length_b 5.065
_cell_length_c 5.055
_cell_angle_alpha 90.00
_cell_angle_beta 90.00
_cell_angle_gamma 90.00
_symmetry_space_group_name_H-M 'P 1'
_symmetry_Int_Tables_number 1
loop_
_symmetry_equiv_pos_as_xyz
'x,y,z'
loop_
_atom_site_label
_atom_site_fract_x
_atom_site_fract_y
_atom_site_fract_z
Sb1 0.000 0.000 0.000
Ru1 0.500 0.500 0.500
Se1 0.000 0.500 0.000
Ta1 0.000 0.000 0.500
Ta2 0.500 0.000 0.000



Entry 4:
# PBE-GGA CeTmPuAg, optimized geometry
# * E_form: 8 kJ per mole of atoms
data_CeTmPuAg
_chemical_formula_sum 'Ce1 Tm1 Pu1 Ag1'
_cell_length_a 5.230
_cell_length_b 5.230
_cell_length_c 5.230
_cell_angle_alpha 60.00
_cell_angle_beta 60.00
_cell_angle_gamma 60.00
_symmetry_space_group_name_H-M 'P 1'
_symmetry_Int_Tables_number 1
loop_
_symmetry_equiv_pos_as_xyz
'x,y,z'
loop_
_atom_site_label
_atom_site_fract_x
_atom_site_fract_y
_atom_site_fract_z
Tm1 0.500 0.500 0.500
Ag1 0.250 0.250 0.250
Ce1 0.000 0.000 0.000
Pu1 0.750 0.750 0.750



Entry 5:
# PBE-GGA K2NaPd2, optimized geometry
# * E_form: 9 kJ per mole of atoms
data_K2NaPd2
_chemical_formula_sum 'K4 Na2 Pd4'
_cell_length_a 7.550
_cell_length_b 7.550
_cell_length_c 5.120
_cell_angle_alpha 90.00
_cell_angle_beta 90.00
_cell_angle_gamma 90.00
_symmetry_space_group_name_H-M 'P 1'
_symmetry_Int_Tables_number 1
loop_
_symmetry_equiv_pos_as_xyz
'x,y,z'
loop_
_atom_site_label
_atom_site_fract_x
_atom_site_fract_y
_atom_site_fract_z
Na1 0.000 0.000 0.000
Na2 0.500 0.500 0.000
K1 0.170 0.670 0.500
K2 0.670 0.830 0.500
K3 0.830 0.330 0.500
K4 0.330 0.170 0.500
Pd1 0.376 0.876 0.000
Pd2 0.876 0.624 0.000
Pd3 0.624 0.124 0.000
Pd4 0.124 0.376 0.000



Entry 6:
# PBE-GGA LuMoRu2, optimized geometry
# * E_form: -11 kJ per mole of atoms
data_LuMoRu2
_chemical_formula_sum 'Lu1 Mo1 Ru2'
_cell_length_a 4.533
_cell_length_b 4.533
_cell_length_c 4.533
_cell_angle_alpha 60.00
_cell_angle_beta 60.00
_cell_angle_gamma 60.00
_symmetry_space_group_name_H-M 'P 1'
_symmetry_Int_Tables_number 1
loop_
_symmetry_equiv_pos_as_xyz
'x,y,z'
loop_
_atom_site_label
_atom_site_fract_x
_atom_site_fract_y
_atom_site_fract_z
Ru1 0.250 0.250 0.250
Ru2 0.750 0.750 0.750
Mo1 0.500 0.500 0.500
Lu1 0.000 0.000 0.000



Entry 7:
# PBE-GGA La2AlAs, optimized geometry
# * E_form: -50 kJ per mole of atoms
data_La2AlAs
_chemical_formula_sum 'La4 Al2 As2'
_cell_length_a 8.330
_cell_length_b 8.330
_cell_length_c 6.808
_cell_angle_alpha 52.29
_cell_angle_beta 52.29
_cell_angle_gamma 90.00
_symmetry_space_group_name_H-M 'P 1'
_symmetry_Int_Tables_number 1
loop_
_symmetry_equiv_pos_as_xyz
'x,y,z'
loop_
_atom_site_label
_atom_site_fract_x
_atom_site_fract_y
_atom_site_fract_z
As1 0.000 0.000 0.000
As2 0.750 0.250 0.500
Al1 0.500 0.500 0.000
Al2 0.250 0.750 0.500
La1 0.646 0.125 0.250
La2 0.104 0.625 0.250
La3 0.375 0.354 0.750
La4 0.875 0.896 0.750



Entry 8:
# PBE-GGA K2ScUO6, optimized geometry
# * formation energy from raw total energies: -61.57 kcal/mol of atoms
data_K2ScUO6
_chemical_formula_sum 'K2 Sc1 U1 O6'
_cell_length_a 5.958
_cell_length_b 5.958
_cell_length_c 5.957
_cell_angle_alpha 60.00
_cell_angle_beta 60.00
_cell_angle_gamma 90.00
_symmetry_space_group_name_H-M 'P 1'
_symmetry_Int_Tables_number 1
loop_
_symmetry_equiv_pos_as_xyz
'x,y,z'
loop_
_atom_site_label
_atom_site_fract_x
_atom_site_fract_y
_atom_site_fract_z
K1 0.250 0.750 0.500
K2 0.750 0.250 0.500
Sc1 0.000 0.000 0.000
U1 0.500 0.500 0.000
O1 0.253 0.747 0.000
O2 0.747 0.747 0.000
O3 0.253 0.253 0.494
O4 0.747 0.253 0.000
O5 0.253 0.253 0.000
O6 0.747 0.747 0.506



Entry 9:
# PBE-GGA CrCoSb2, optimized geometry
# * formation energy from raw total energies: 8.64 kcal/mol of atoms
data_CrCoSb2
_chemical_formula_sum 'Cr1 Co1 Sb2'
_cell_length_a 5.638
_cell_length_b 5.638
_cell_length_c 5.638
_cell_angle_alpha 140.38
_cell_angle_beta 140.38
_cell_angle_gamma 57.27
_symmetry_space_group_name_H-M 'P 1'
_symmetry_Int_Tables_number 1
loop_
_symmetry_equiv_pos_as_xyz
'x,y,z'
loop_
_atom_site_label
_atom_site_fract_x
_atom_site_fract_y
_atom_site_fract_z
Co1 0.500 0.500 0.000
Cr1 0.750 0.250 0.500
Sb1 0.000 0.000 0.000
Sb2 0.250 0.750 0.500



Entry 10:
# PBE-GGA ZrCr, optimized geometry
# * E_form: 150 kJ per mole of atoms
data_ZrCr
_chemical_formula_sum 'Zr8 Cr8'
_cell_length_a 7.508
_cell_length_b 7.508
_cell_length_c 7.508
_cell_angle_alpha 90.00
_cell_angle_beta 90.00
_cell_angle_gamma 90.00
_symmetry_space_group_name_H-M 'P 1'
_symmetry_Int_Tables_number 1
loop_
_symmetry_equiv_pos_as_xyz
'x,y,z'
loop_
_atom_site_label
_atom_site_fract_x
_atom_site_fract_y
_atom_site_fract_z
Zr1 0.279 0.279 0.279
Zr2 0.279 0.721 0.721
Zr3 0.721 0.279 0.721
Zr4 0.721 0.721 0.279
Zr5 0.779 0.779 0.779
Zr6 0.779 0.221 0.221
Zr7 0.221 0.779 0.221
Zr8 0.221 0.221 0.779
Cr1 0.111 0.111 0.111
Cr2 0.111 0.889 0.889
Cr3 0.889 0.111 0.889
Cr4 0.889 0.889 0.111
Cr5 0.611 0.611 0.611
Cr6 0.611 0.389 0.389
Cr7 0.389 0.611 0.389
Cr8 0.389 0.389 0.611



Entry 11:
# PBE-GGA BeBiAu6, optimized geometry
# * E_form: -2 kJ per mole of atoms
data_BeBiAu6
_chemical_formula_sum 'Be1 Bi1 Au6'
_cell_length_a 3.976
_cell_length_b 3.976
_cell_length_c 9.903
_cell_angle_alpha 90.00
_cell_angle_beta 90.00
_cell_angle_gamma 90.00
_symmetry_space_group_name_H-M 'P 1'
_symmetry_Int_Tables_number 1
loop_
_symmetry_equiv_pos_as_xyz
'x,y,z'
loop_
_atom_site_label
_atom_site_fract_x
_atom_site_fract_y
_atom_site_fract_z
Be1 0.000 0.000 0.500
Bi1 0.000 0.000 0.000
Au1 0.500 0.000 0.648
Au2 0.000 0.500 0.648
Au3 0.500 0.500 0.140
Au4 0.500 0.500 0.860
Au5 0.000 0.500 0.352
Au6 0.500 0.000 0.352



Entry 12:
# PBE-GGA ZrFeRu2, optimized geometry
# * E_form: 20 kJ per mole of atoms
data_ZrFeRu2
_chemical_formula_sum 'Zr1 Fe1 Ru2'
_cell_length_a 8.832
_cell_length_b 8.832
_cell_length_c 8.832
_cell_angle_alpha 18.82
_cell_angle_beta 18.82
_cell_angle_gamma 18.82
_symmetry_space_group_name_H-M 'P 1'
_symmetry_Int_Tables_number 1
loop_
_symmetry_equiv_pos_as_xyz
'x,y,z'
loop_
_atom_site_label
_atom_site_fract_x
_atom_site_fract_y
_atom_site_fract_z
Fe1 0.750 0.750 0.750
Ru1 0.007 0.007 0.007
Ru2 0.493 0.493 0.493
Zr1 0.250 0.250 0.250



| no. | Fermi-level density of states (states/eV/f.u.) |
| --- | --- |
| 1 | 8.1 |
| 2 | 5.9 |
| 3 | 10.7 |
| 4 | 13.0 |
| 5 | 2.3 |
| 6 | 4.6 |
| 7 | 4.6 |
| 8 | 6.9 |
| 9 | 3.1 |
| 10 | 3.2 |
| 11 | 3.6 |
| 12 | 4.1 |